Here is an optimized crystal structure of HoIn2Ni9 from Alexandria. Energies are from PBE-GGA.

Cell and atoms, written as extended XYZ:
```
12
Lattice="-1.9869 3.7020 2.5335 -2.0497 -0.8444 4.3769 5.6055 2.2802 5.8147" Properties=species:S:1:pos:R:3 pbc="T T T"
Ni 0.7845 2.5689 6.3626
Ni -0.2694 1.7578 4.3261
Ni 2.8719 3.8058 6.1922
Ni 1.8384 3.3801 8.3991
Ni -1.3029 1.3320 6.5329
Ni -1.2712 3.6243 5.6035
Ni 2.8402 1.5135 7.1217
Ni 4.2500 3.2308 8.1131
Ni -2.6810 1.9070 4.6120
Ho 0.0000 0.0000 0.0000
In 2.6858 1.7225 4.3399
In -1.1168 3.4153 8.3853
```

Computed properties:
energy of formation	-0.212	eV/atom
symmetry	R-3m
density	9.30	Mg/m³
energy above the most stable polymorph in this dataset	0.009	eV/atom



Here is an optimized crystal structure of HoIn3Ni8 from Alexandria. Energies are from PBE-GGA.

Cell and atoms, written as extended XYZ:
```
12
Lattice="4.7345 0.0000 1.4292 2.1515 4.2174 1.4292 -0.0170 -0.0104 8.6127" Properties=species:S:1:pos:R:3 pbc="T T T"
In 2.5607 1.5683 8.6301
In -0.0075 -0.0046 8.5814
In 3.4147 2.0914 5.8011
Ni 4.0924 3.9571 3.5560
Ni 4.7194 2.8905 10.0353
Ni 5.3647 1.8247 7.8979
Ni 6.4487 3.9495 8.6180
Ni 3.0161 1.8472 2.8410
Ni 5.3846 1.8472 3.5560
Ni 1.2834 0.7860 4.3050
Ni 4.0633 3.9495 7.8979
Ho 6.0250 3.6900 5.7106
```

Computed properties:
energy of formation	-0.216	eV/atom
symmetry	R3m
density	9.44	Mg/m³



Here is an optimized crystal structure of HoInNi from Alexandria. Energies are from PBE-GGA.

Cell and atoms, written as extended XYZ:
```
18
Lattice="-3.3839 -1.3990 0.4189 1.6929 -1.9596 7.1302 -4.2755 11.6002 4.2032" Properties=species:S:1:pos:R:3 pbc="T T T"
Ni -2.4441 7.8175 6.3643
Ni -1.9878 0.2554 1.0086
Ni -0.1386 1.8232 4.9691
Ni -3.9788 7.9862 10.7438
Ni -2.6284 4.3224 9.4162
Ni -3.3382 3.9192 2.3361
In -3.3666 5.3496 6.8838
In -4.4950 8.4110 7.9930
In -1.4717 -0.1694 3.7593
In -1.3958 0.6204 7.0097
In -2.6000 2.8920 4.8686
In -4.5708 7.6212 4.7426
Ho -1.9589 5.8916 3.8523
Ho -1.7666 7.0332 9.2179
Ho -0.8161 2.6075 2.1154
Ho 1.1301 -1.0095 5.7569
Ho -0.6238 3.7490 7.4811
Ho -3.7127 10.6502 5.5765
```

Computed properties:
energy of formation	-0.510	eV/atom
symmetry	Pmma
density	9.24	Mg/m³



Here is an optimized crystal structure of HoInNi from Alexandria. Energies are from PBE-GGA.

Cell and atoms, written as extended XYZ:
```
3
Lattice="-2.6379 -0.0786 -1.9574 -1.8462 -0.9978 2.5281 1.1207 5.8970 1.0107" Properties=species:S:1:pos:R:3 pbc="T T T"
Ho -3.2039 4.0583 1.3971
Ni -0.6245 2.9842 0.7218
In -2.5621 0.9911 0.6553
```

Computed properties:
energy of formation	-0.324	eV/atom
symmetry	I4mm
density	9.25	Mg/m³



Here is an optimized crystal structure of Ho7In2Ni2 from Alexandria. Energies are from PBE-GGA.

Cell and atoms, written as extended XYZ:
```
11
Lattice="-1.5911 0.7936 6.5491 -5.2689 -4.4111 -0.7462 4.3872 -5.1475 -0.5546" Properties=species:S:1:pos:R:3 pbc="T T T"
In -2.1407 -2.9744 0.6854
In -0.3321 -5.7907 4.5629
Ho 0.1518 -3.2228 2.8190
Ho -2.0852 -0.6854 3.0894
Ho -2.6246 -5.5423 2.4293
Ho 0.0000 0.0000 0.0000
Ho -0.3876 -8.0796 2.1589
Ho -1.7860 -5.9021 -0.8391
Ho -0.6868 -2.8630 6.0874
Ni -5.1027 -5.3637 3.7150
Ni 2.6299 -3.4014 1.5333
```

Computed properties:
energy of formation	-0.233	eV/atom
symmetry	Cmmm
density	8.27	Mg/m³



Here is an optimized crystal structure of HoIn4Ni2 from Alexandria. Energies are from PBE-GGA.

Cell and atoms, written as extended XYZ:
```
28
Lattice="-1.3610 1.9115 -3.7198 5.8745 -2.1542 -3.2563 -8.3010 -15.3240 -4.8375" Properties=species:S:1:pos:R:3 pbc="T T T"
Ni -1.1853 -13.5738 -7.8416
Ni -0.3952 -9.4705 -6.0221
Ni -3.3923 -6.0963 -5.7916
Ni -7.4544 -13.7907 -8.2594
Ni 3.6669 -1.7760 -3.5543
Ni -4.2738 -10.5639 -7.7649
Ni -2.6022 -1.9929 -3.9721
Ni 0.4863 -5.0028 -4.0488
In 0.8029 -4.8522 -6.6872
In 0.1138 -7.5805 -7.8371
In -0.9324 -7.1924 -4.6549
In -1.6999 -4.0891 -5.3794
In -3.9013 -7.9862 -3.9765
In -5.2655 -14.7919 -9.5748
In 2.9842 -4.1535 -4.5262
In -1.5716 0.3390 -3.1508
In -2.2160 -15.9057 -8.6628
In -3.2602 -12.5462 -9.1544
In -2.0876 -11.4776 -6.4343
In -6.7717 -11.4132 -7.2874
In -0.5273 -3.0205 -2.6592
In -4.5905 -10.7145 -5.1264
In -2.8552 -8.3743 -7.1588
In 1.4780 -0.7748 -2.2389
Ho -4.7205 -13.6841 -6.6049
Ho -3.1245 -5.0854 -2.7701
Ho 0.9330 -1.8826 -5.2088
Ho -0.6631 -10.4813 -9.0436
```

Computed properties:
energy of formation	-0.289	eV/atom
symmetry	Pnma
density	8.78	Mg/m³



Here is an optimized crystal structure of Ho2InNi from Alexandria. Energies are from PBE-GGA.

Cell and atoms, written as extended XYZ:
```
4
Lattice="3.4375 0.0000 0.0000 0.0000 3.4375 0.0000 0.0000 0.0000 7.6552" Properties=species:S:1:pos:R:3 pbc="T T T"
Ho 0.0000 0.0000 6.0212
Ho 0.0000 0.0000 1.6340
In 1.7188 1.7188 3.8276
Ni 1.7188 1.7188 0.0000
```

Computed properties:
energy of formation	-0.443	eV/atom
symmetry	P4/mmm
density	9.24	Mg/m³
energy above the most stable polymorph in this dataset	0.000	eV/atom



Here is an optimized crystal structure of HoInNi from Alexandria. Energies are from PBE-GGA.

Cell and atoms, written as extended XYZ:
```
12
Lattice="4.3233 0.0000 0.0000 0.0000 8.2153 0.0000 0.0000 0.0000 8.2153" Properties=species:S:1:pos:R:3 pbc="T T T"
Ho 0.0000 4.7396 1.9781
Ho 2.1617 1.9781 3.4757
Ho 0.0000 3.4757 6.2371
Ho 2.1617 6.2371 4.7396
In 2.1617 2.4877 0.3168
In 0.0000 0.3168 5.7276
In 2.1617 5.7276 7.8984
In 0.0000 7.8984 2.4877
Ni 0.0000 6.0885 6.5205
Ni 2.1617 6.5205 2.1267
Ni 2.1617 1.6948 6.0885
Ni 0.0000 2.1267 1.6948
```

Computed properties:
energy of formation	-0.184	eV/atom
symmetry	P4_2/m
density	7.70	Mg/m³



Here is an optimized crystal structure of HoIn2Ni from Alexandria. Energies are from PBE-GGA.

Cell and atoms, written as extended XYZ:
```
4
Lattice="-1.0366 0.2758 -4.5251 1.7634 -3.8409 -0.6380 -3.7751 -1.8580 0.7516" Properties=species:S:1:pos:R:3 pbc="T T T"
Ho -0.5183 0.1379 -2.2625
Ni -1.5242 -2.7116 -2.2058
In 0.8817 -1.9204 -0.3190
In -1.8876 -0.9290 0.3758
```

Computed properties:
energy of formation	-0.212	eV/atom
symmetry	P4/mmm
density	8.86	Mg/m³



Here is an optimized crystal structure of HoInNi from Alexandria. Energies are from PBE-GGA.

Cell and atoms, written as extended XYZ:
```
3
Lattice="-4.3846 -0.6207 -1.0698 -2.8543 -1.8155 3.0515 -3.2069 2.5888 1.9413" Properties=species:S:1:pos:R:3 pbc="T T T"
Ni -2.6114 0.0382 0.9807
Ho 0.0000 0.0000 0.0000
In -5.2229 0.0763 1.9615
```

Computed properties:
energy of formation	-0.353	eV/atom
symmetry	F-43m
density	8.41	Mg/m³



Here is an optimized crystal structure of Ho2InNi from Alexandria. Energies are from PBE-GGA.

Cell and atoms, written as extended XYZ:
```
4
Lattice="-5.0456 -0.0353 0.4862 -2.8513 -2.5210 -3.3482 -2.3824 -4.2520 1.3930" Properties=species:S:1:pos:R:3 pbc="T T T"
In 0.0000 0.0000 0.0000
Ho -2.5698 -1.7021 -0.3673
Ho -7.7095 -5.1062 -1.1018
Ni -5.1397 -3.4042 -0.7345
```

Computed properties:
energy of formation	-0.324	eV/atom
symmetry	Fm-3m
density	9.08	Mg/m³
energy above the most stable polymorph in this dataset	0.119	eV/atom



Here is an optimized crystal structure of Ho2In3Ni from Alexandria. Energies are from PBE-GGA.

Cell and atoms, written as extended XYZ:
```
12
Lattice="5.8108 1.0455 0.0000 0.6854 5.8642 0.0000 -3.2481 -3.4549 8.3052" Properties=species:S:1:pos:R:3 pbc="T T T"
In 3.2481 3.4549 5.4315
In 4.7742 5.0781 1.4583
In 0.0000 0.0000 2.8737
In 1.7221 1.8317 1.4583
In -1.5261 -1.6232 6.8469
In 1.5261 1.6232 6.8469
Ho 1.9705 4.6560 0.0000
Ho 4.5258 2.2537 0.0000
Ho 2.9054 0.5227 4.1526
Ho 0.3427 2.9321 4.1526
Ni 3.2481 3.4549 2.8396
Ni 0.0000 0.0000 5.4656
```

Computed properties:
energy of formation	-0.390	eV/atom
symmetry	Fmmm
density	8.79	Mg/m³